Crystalline SbAsOs at its relaxed geometry. Source: Alexandria via LeMat-Bulk, functional PBE.

abc: 8.6556 3.0998 12.3065
angles: 90.00 134.33 90.00
With the nearest neighbours (Å) after each atom.
Element x y z (fractional)
As: 0.0305 0.5000 0.7352  4 Os 2.53-2.56, 1 Sb 2.66
Os: 0.1252 0.0000 0.6230  4 As 2.52-2.56, 2 Sb 2.65-2.70
Os: 0.7270 0.0000 0.6418  3 As 2.53, 3 Sb 2.67-2.69
Sb: 0.5377 0.5000 0.3974  3 Os 2.69-2.70, 1 As 2.77
Sb: 0.5377 0.0000 0.8974  3 Os 2.69-2.70, 1 As 2.77
As: 0.8617 0.5000 0.4018  3 Os 2.52-2.53, 1 Sb 2.77
As: 0.0305 0.0000 0.2352  4 Os 2.53-2.56, 1 Sb 2.66
As: 0.8617 0.0000 0.9018  3 Os 2.52-2.53, 1 Sb 2.77
Sb: 0.3341 0.0000 0.5375  2 Os 2.65-2.67, 1 As 2.66
Os: 0.1252 0.5000 0.1230  4 As 2.52-2.56, 2 Sb 2.65-2.70
Sb: 0.3341 0.5000 0.0375  2 Os 2.65-2.67, 1 As 2.66
Os: 0.7270 0.5000 0.1418  3 As 2.53, 3 Sb 2.67-2.69

Computed properties:
formation energy without anion corrections	0.0882	eV per atom
VASP energy	-6.579	eV/atom
symmetry	Cm
D(E_F)	1.72	states/eV/cell
energy above the lowest structure with this stoichiometry	0.190	eV/atom

---

Crystalline Sb2AsOs at its relaxed geometry. Source: Alexandria via LeMat-Bulk, functional PBE.

abc: 9.2924 9.2924 9.2924
angles: 20.57 20.57 20.57
With the nearest neighbours (Å) after each atom.
Element x y z (fractional)
Sb: 0.0143 0.0143 0.0143  3 Os 2.80
Sb: 0.2485 0.2485 0.2485  9 Sb 3.32, 3 As 3.34
Os: 0.7558 0.7558 0.7558  3 As 2.50
As: 0.4814 0.4814 0.4814  3 Os 2.50

Computed properties:
formation energy without anion corrections	0.3030	eV per atom
VASP energy	-5.728	eV/atom
symmetry	R3m
D(E_F)	4.22	states/eV/cell

---

| no. | ρ (Mg/m³) |
| --- | --- |
| 1 | 10.88 |
| 2 | 9.74 |